LaInHg | PBE | optimized geometry

Properties
Uncorrected energy = -2.97 eV/atom

abc: 5.7429 5.7429 5.7429
angles: 142.46 130.73 63.55
Element x y z (fractional)
La (0.0000, 0.0000, 0.0000)
In (0.6598, 0.6598, 0.0000)
Hg (0.3308, 0.3308, 0.0000)

La6InHg2 | PBE | optimized geometry

Properties
Energy above the most stable polymorph in this dataset = 0 meV/atom

abc: 10.4676 8.8638 6.8325
angles: 82.56 57.10 40.33
Element x y z (fractional)
La (0.0202, 0.3173, 0.6827)
La (0.3173, 0.0202, 0.9798)
La (0.3439, 0.6561, 0.3439)
La (0.6561, 0.3439, 0.6561)
La (0.6827, 0.9798, 0.0202)
La (0.9798, 0.6827, 0.3173)
In (0.0000, 0.0000, 0.0000)
Hg (0.3372, 0.3372, 0.6628)
Hg (0.6628, 0.6628, 0.3372)

La5In2Hg | PBE | optimized geometry

Properties
Uncorrected energy = -4.12 eV/atom

abc: 8.3767 8.3767 8.3767
angles: 138.94 138.94 59.47
Element x y z (fractional)
La (0.0000, 0.0000, 0.0000)
La (0.1298, 0.6298, 0.5000)
La (0.3702, 0.8702, 0.5000)
La (0.6298, 0.1298, 0.5000)
La (0.8702, 0.3702, 0.5000)
In (0.2459, 0.2459, 0.0000)
In (0.7541, 0.7541, 0.0000)
Hg (0.5000, 0.5000, 0.0000)

La2In3Hg5 | PBE | optimized geometry

Properties
Uncorrected energy = -2.25 eV/atom

abc: 9.5968 9.5968 9.5968
angles: 102.34 91.70 139.17
Element x y z (fractional)
La (0.1268, 0.2367, 0.3635)
La (0.3732, 0.7367, 0.1098)
La (0.6268, 0.2633, 0.8902)
La (0.8732, 0.7633, 0.6365)
In (0.1322, 0.8727, 0.0048)
In (0.2500, 0.7500, 0.5000)
In (0.3678, 0.3727, 0.7405)
In (0.6322, 0.6273, 0.2595)
In (0.7500, 0.2500, 0.5000)
In (0.8678, 0.1273, 0.9952)
Hg (0.0138, 0.7500, 0.2638)
Hg (0.1161, 0.6484, 0.7645)
Hg (0.2500, 0.2500, 0.0000)
Hg (0.3839, 0.1484, 0.5323)
Hg (0.4862, 0.7500, 0.7362)
Hg (0.5138, 0.2500, 0.2638)
Hg (0.6161, 0.8516, 0.4677)
Hg (0.7500, 0.7500, 0.0000)
Hg (0.8839, 0.3516, 0.2355)
Hg (0.9862, 0.2500, 0.7362)

La5In4Hg | PBE | optimized geometry

Properties
Uncorrected energy = -4.10 eV/atom

abc: 3.9186 3.9186 20.0291
angles: 90.00 90.00 90.00
Element x y z (fractional)
La (0.0000, 0.0000, 0.0000)
La (0.0000, 0.0000, 0.2007)
La (0.0000, 0.0000, 0.4015)
La (0.0000, 0.0000, 0.5985)
La (0.0000, 0.0000, 0.7993)
In (0.5000, 0.5000, 0.1002)
In (0.5000, 0.5000, 0.3022)
In (0.5000, 0.5000, 0.6978)
In (0.5000, 0.5000, 0.8998)
Hg (0.5000, 0.5000, 0.5000)

La6In3Hg | PBE | optimized geometry

Properties
Energy above the most stable polymorph in this dataset = 0 meV/atom

abc: 9.7833 5.5223 12.2028
angles: 90.00 107.23 90.00
Element x y z (fractional)
La (0.0387, 0.2500, 0.4154)
La (0.1612, 0.7500, 0.1760)
La (0.2470, 0.2500, 0.0014)
La (0.3450, 0.7500, 0.8048)
La (0.3748, 0.2500, 0.3542)
La (0.4146, 0.2500, 0.6197)
La (0.5854, 0.7500, 0.3803)
La (0.6252, 0.7500, 0.6458)
La (0.6550, 0.2500, 0.1952)
La (0.7530, 0.7500, 0.9986)
La (0.8388, 0.2500, 0.8240)
La (0.9613, 0.7500, 0.5846)
In (0.0360, 0.7500, 0.8775)
In (0.1257, 0.2500, 0.7172)
In (0.2676, 0.7500, 0.4739)
In (0.7324, 0.2500, 0.5261)
In (0.8743, 0.7500, 0.2828)
In (0.9640, 0.2500, 0.1225)
Hg (0.4610, 0.7500, 0.0985)
Hg (0.5390, 0.2500, 0.9015)

La4InHg2 | PBE | optimized geometry

Properties
Energy above the most stable polymorph in this dataset = 0 meV/atom

abc: 9.2444 9.2444 9.2444
angles: 34.49 34.49 34.49
Element x y z (fractional)
La (0.1149, 0.1149, 0.1149)
La (0.3685, 0.3685, 0.3685)
La (0.6315, 0.6315, 0.6315)
La (0.8851, 0.8851, 0.8851)
In (0.5000, 0.5000, 0.5000)
Hg (0.2432, 0.2432, 0.2432)
Hg (0.7568, 0.7568, 0.7568)

LaIn2Hg | PBE | optimized geometry

Properties
Uncorrected energy = -2.87 eV/atom

abc: 11.7580 11.7580 11.7580
angles: 157.38 157.38 32.21
Element x y z (fractional)
La (0.0000, 0.0000, 0.0000)
La (0.7500, 0.2500, 0.5000)
In (0.1528, 0.6250, 0.0278)
In (0.3750, 0.4028, 0.5278)
In (0.5972, 0.1250, 0.9722)
In (0.8750, 0.8472, 0.4722)
Hg (0.2500, 0.7500, 0.5000)
Hg (0.5000, 0.5000, 0.0000)

La4InHg | PBE | optimized geometry

Properties
Energy above the most stable polymorph in this dataset = 164 meV/atom

abc: 5.4006 5.4006 7.5981
angles: 90.04 90.04 90.00
Element x y z (fractional)
La (0.0001, 0.4996, 0.2433)
La (0.9999, 0.5004, 0.7567)
La (0.4996, 0.0001, 0.2433)
La (0.5004, 0.9999, 0.7567)
In (0.0000, 0.0000, 0.5000)
Hg (0.5000, 0.5000, 0.0000)

La2In2Hg | PBE | optimized geometry

Properties
Energy above the most stable polymorph in this dataset = 190 meV/atom

abc: 9.2552 9.2552 3.7929
angles: 90.00 90.00 90.00
Element x y z (fractional)
La (0.1819, 0.3181, 0.0000)
La (0.3181, 0.8181, 0.0000)
La (0.6819, 0.1819, 0.0000)
La (0.8181, 0.6819, 0.0000)
In (0.1147, 0.6147, 0.5000)
In (0.3853, 0.1147, 0.5000)
In (0.6147, 0.8853, 0.5000)
In (0.8853, 0.3853, 0.5000)
Hg (0.0000, 0.0000, 0.0000)
Hg (0.5000, 0.5000, 0.0000)

La3InHg5 | PBE | optimized geometry

Properties
Uncorrected energy = -2.62 eV/atom

abc: 9.3358 9.3358 6.6539
angles: 90.00 90.00 120.00
Element x y z (fractional)
La (0.0000, 0.3411, 0.2500)
La (0.0000, 0.6589, 0.7500)
La (0.3411, 0.0000, 0.2500)
La (0.3411, 0.3411, 0.7500)
La (0.6589, 0.0000, 0.7500)
La (0.6589, 0.6589, 0.2500)
In (0.0000, 0.0000, 0.0000)
In (0.0000, 0.0000, 0.5000)
Hg (0.0000, 0.3249, 0.7500)
Hg (0.0000, 0.6751, 0.2500)
Hg (0.3249, 0.0000, 0.7500)
Hg (0.3249, 0.3249, 0.2500)
Hg (0.3333, 0.6667, 0.0000)
Hg (0.3333, 0.6667, 0.5000)
Hg (0.6667, 0.3333, 0.0000)
Hg (0.6667, 0.3333, 0.5000)
Hg (0.6751, 0.0000, 0.2500)
Hg (0.6751, 0.6751, 0.7500)

Li2LaInHg2 | PBE | optimized geometry

Properties
Uncorrected energy = -2.45 eV/atom

abc: 4.8230 4.8230 6.9162
angles: 90.00 90.00 120.00
Element x y z (fractional)
Li (0.3333, 0.6667, 0.1557)
Li (0.6667, 0.3333, 0.8443)
La (0.0000, 0.0000, 0.5000)
In (0.0000, 0.0000, 0.0000)
Hg (0.3333, 0.6667, 0.7456)
Hg (0.6667, 0.3333, 0.2544)

LiLaIn2Hg4 | PBE | optimized geometry

Properties
Uncorrected energy = -2.02 eV/atom

abc: 9.1314 9.1314 9.1314
angles: 32.43 32.43 32.43
Element x y z (fractional)
Li (0.0000, 0.0000, 0.0000)
La (0.5000, 0.5000, 0.5000)
In (0.2480, 0.2480, 0.2480)
In (0.7520, 0.7520, 0.7520)
Hg (0.1129, 0.1129, 0.1129)
Hg (0.3653, 0.3653, 0.3653)
Hg (0.6347, 0.6347, 0.6347)
Hg (0.8871, 0.8871, 0.8871)

LaLuInHg | PBE | optimized geometry

Properties
Uncorrected energy = -3.58 eV/atom

abc: 5.4085 5.4085 5.4085
angles: 60.00 60.00 60.00
Element x y z (fractional)
La (0.0000, 0.0000, 0.0000)
Lu (0.5000, 0.5000, 0.5000)
In (0.7500, 0.7500, 0.7500)
Hg (0.2500, 0.2500, 0.2500)

LaMg2InHg2 | PBE | optimized geometry

Properties
Uncorrected energy = -2.28 eV/atom

abc: 4.9956 4.9956 6.9394
angles: 90.00 90.00 120.00
Element x y z (fractional)
La (0.0000, 0.0000, 0.0000)
Mg (0.3333, 0.6667, 0.6847)
Mg (0.6667, 0.3333, 0.3153)
In (0.0000, 0.0000, 0.5000)
Hg (0.3333, 0.6667, 0.2258)
Hg (0.6667, 0.3333, 0.7742)

La2Mg6InHg | PBE | optimized geometry

Properties
Uncorrected energy = -2.33 eV/atom

abc: 5.9297 9.3025 10.1743
angles: 90.00 90.00 90.00
Element x y z (fractional)
La (0.2500, 0.0107, 0.2419)
La (0.2500, 0.4893, 0.2419)
La (0.7500, 0.5107, 0.7581)
La (0.7500, 0.9893, 0.7581)
Mg (0.9999, 0.2500, 0.9899)
Mg (0.0001, 0.7500, 0.0101)
Mg (0.0009, 0.7500, 0.4970)
Mg (0.2500, 0.0003, 0.5855)
Mg (0.2500, 0.4997, 0.5855)
Mg (0.4991, 0.7500, 0.4970)
Mg (0.5001, 0.2500, 0.9899)
Mg (0.4999, 0.7500, 0.0101)
Mg (0.5009, 0.2500, 0.5030)
Mg (0.7500, 0.9997, 0.4145)
Mg (0.7500, 0.5003, 0.4145)
Mg (0.9991, 0.2500, 0.5030)
In (0.2500, 0.7500, 0.7630)
In (0.7500, 0.2500, 0.2370)
Hg (0.2500, 0.2500, 0.7559)
Hg (0.7500, 0.7500, 0.2441)

LaMg2In2Hg2 | PBE | optimized geometry

Properties
Uncorrected energy = -2.30 eV/atom

abc: 9.0141 9.0141 9.0141
angles: 31.42 31.42 31.42
Element x y z (fractional)
La (0.0000, 0.0000, 0.0000)
Mg (0.1386, 0.1386, 0.1386)
Mg (0.8614, 0.8614, 0.8614)
In (0.2625, 0.2625, 0.2625)
In (0.7375, 0.7375, 0.7375)
Hg (0.4295, 0.4295, 0.4295)
Hg (0.5705, 0.5705, 0.5705)

La2InHgMo | PBE | optimized geometry

Properties
Uncorrected energy = -3.82 eV/atom

abc: 5.9253 5.9253 5.1807
angles: 90.00 90.00 90.00
Element x y z (fractional)
La (0.0000, 0.5000, 0.0000)
La (0.5000, 0.0000, 0.0000)
In (0.0000, 0.0000, 0.5000)
Hg (0.0000, 0.0000, 0.0000)
Mo (0.5000, 0.5000, 0.5000)

La12In4HgN3 | PBE | optimized geometry

Properties
Uncorrected energy = -5.40 eV/atom

abc: 9.1986 9.1986 9.1986
angles: 109.47 109.47 109.47
Element x y z (fractional)
La (0.0000, 0.2797, 0.2797)
La (0.0000, 0.7203, 0.7203)
La (0.2500, 0.5000, 0.7500)
La (0.2500, 0.7500, 0.5000)
La (0.2797, 0.0000, 0.2797)
La (0.2797, 0.2797, 0.0000)
La (0.5000, 0.2500, 0.7500)
La (0.5000, 0.7500, 0.2500)
La (0.7203, 0.0000, 0.7203)
La (0.7203, 0.7203, 0.0000)
La (0.7500, 0.2500, 0.5000)
La (0.7500, 0.5000, 0.2500)
In (0.0000, 0.0000, 0.5000)
In (0.0000, 0.5000, 0.0000)
In (0.5000, 0.0000, 0.0000)
In (0.5000, 0.5000, 0.5000)
Hg (0.0000, 0.0000, 0.0000)
N (0.0000, 0.5000, 0.5000)
N (0.5000, 0.0000, 0.5000)
N (0.5000, 0.5000, 0.0000)

LaInHgN2 | PBE | optimized geometry

Properties
Uncorrected energy = -4.15 eV/atom

abc: 4.4661 4.4661 5.1351
angles: 90.00 90.00 90.00
Element x y z (fractional)
La (0.0000, 0.0000, 0.0000)
In (0.5000, 0.5000, 0.5000)
Hg (0.5000, 0.5000, 0.0000)
N (0.0000, 0.5000, 0.5000)
N (0.5000, 0.0000, 0.5000)

NaLaInHg | PBE | optimized geometry

Properties
Uncorrected energy = -2.69 eV/atom

abc: 5.4060 5.4060 5.4060
angles: 60.00 60.00 60.00
Element x y z (fractional)
Na (0.0000, 0.0000, 0.0000)
La (0.5000, 0.5000, 0.5000)
In (0.7500, 0.7500, 0.7500)
Hg (0.2500, 0.2500, 0.2500)

La2NdIn2Hg2 | PBE | optimized geometry

Properties
Uncorrected energy = -3.30 eV/atom

abc: 9.8281 9.8281 9.8281
angles: 29.03 29.03 29.03
Element x y z (fractional)
La (0.1374, 0.1374, 0.1374)
La (0.8626, 0.8626, 0.8626)
Nd (0.0000, 0.0000, 0.0000)
In (0.2706, 0.2706, 0.2706)
In (0.7294, 0.7294, 0.7294)
Hg (0.4198, 0.4198, 0.4198)
Hg (0.5802, 0.5802, 0.5802)

LaNd2In2Hg2 | PBE | optimized geometry

Properties
Uncorrected energy = -3.28 eV/atom

abc: 9.7921 9.7921 9.7921
angles: 29.62 29.62 29.62
Element x y z (fractional)
La (0.0000, 0.0000, 0.0000)
Nd (0.1313, 0.1313, 0.1313)
Nd (0.8687, 0.8687, 0.8687)
In (0.2662, 0.2662, 0.2662)
In (0.7338, 0.7338, 0.7338)
Hg (0.4199, 0.4199, 0.4199)
Hg (0.5801, 0.5801, 0.5801)